No. 1
DFT (SCAN) results for LaSb at its PBEsol-relaxed geometry.

Crystal system: cubic
E_tot: -41.61 eV per atom
Symmetry: No. 225

a = 4.560 Å, b = 4.560 Å, c = 4.560 Å
α = 60.00°, β = 60.00°, γ = 60.00°
Fractional coordinates of all 2 atoms:
La 0.000 0.000 0.000
Sb 0.500 0.500 0.500

---

No. 2
DFT (SCAN) results for AlFe2OF at its PBEsol-relaxed geometry.

Crystal system: tetragonal
E_tot: -10.81 eV per atom
Symmetry: No. 123

a = 3.653 Å, b = 3.653 Å, c = 4.631 Å
α = 90.00°, β = 90.00°, γ = 90.00°
Fractional coordinates of all 5 atoms:
Al 0.000 0.000 0.000
Fe 0.000 0.500 0.500
Fe 0.500 0.000 0.500
O 0.500 0.500 0.000
F 0.500 0.500 0.500

---

No. 3
DFT (SCAN) results for ZrBe at its PBEsol-relaxed geometry.

Crystal system: tetragonal
E_tot: -17.45 eV per atom
Symmetry: No. 129

a = 2.830 Å, b = 2.830 Å, c = 7.538 Å
α = 90.00°, β = 90.00°, γ = 90.00°
Fractional coordinates of all 4 atoms:
Zr 0.250 0.250 0.177
Zr 0.750 0.750 0.823
Be 0.250 0.250 0.566
Be 0.750 0.750 0.434

---

No. 4
DFT (SCAN) results for SrOsPb3 at its PBEsol-relaxed geometry.

Crystal system: cubic
E_tot: -62.23 eV per atom
Symmetry: No. 221

a = 5.775 Å, b = 5.775 Å, c = 5.775 Å
α = 90.00°, β = 90.00°, γ = 90.00°
Fractional coordinates of all 5 atoms:
Sr 0.000 0.000 0.000
Os 0.500 0.500 0.500
Pb 0.000 0.000 0.500
Pb 0.000 0.500 0.000
Pb 0.500 0.000 0.000

---

No. 5
DFT (SCAN) results for BaCaC2O6 at its PBEsol-relaxed geometry.

Crystal system: monoclinic
Excess energy over the best structure of this formula in the dataset: 0 meV per atom
Symmetry: No. 11

a = 6.525 Å, b = 5.237 Å, c = 8.072 Å
α = 90.00°, β = 106.37°, γ = 90.00°
Fractional coordinates of all 20 atoms:
Ba 0.211 0.250 0.352
Ba 0.789 0.750 0.648
Ca 0.304 0.250 0.877
Ca 0.696 0.750 0.123
C 0.247 0.750 0.116
C 0.252 0.750 0.601
C 0.748 0.250 0.399
C 0.753 0.250 0.884
O 0.062 0.750 0.138
O 0.191 0.536 0.653
O 0.191 0.964 0.653
O 0.349 0.537 0.107
O 0.349 0.963 0.107
O 0.360 0.750 0.490
O 0.640 0.250 0.510
O 0.651 0.037 0.893
O 0.651 0.463 0.893
O 0.809 0.036 0.347
O 0.809 0.464 0.347
O 0.938 0.250 0.862

---

No. 6
DFT (SCAN) results for Fe2Rh at its PBEsol-relaxed geometry.

Crystal system: trigonal
E_tot: -23.58 eV per atom
Symmetry: No. 164

a = 4.122 Å, b = 4.122 Å, c = 5.064 Å
α = 90.00°, β = 90.00°, γ = 120.00°
Fractional coordinates of all 6 atoms:
Fe 0.000 0.000 0.000
Fe 0.000 0.000 0.500
Fe 0.333 0.667 0.157
Fe 0.667 0.333 0.843
Rh 0.333 0.667 0.666
Rh 0.667 0.333 0.334